Record 1
First-principles (PBE-GGA) data for a relaxed CdNiSb2Te crystal, as listed in Alexandria via LeMat-Bulk.

Summary:
M_tot: 0.00 Bohr magnetons per cell
DOS at the Fermi energy: 3.09 states/eV per cell
Formation energy (no corrections): 0.13 eV per atom

Cell lengths 5.002, 5.065, 5.002 Å; angles 90.00, 90.00, 90.00 degrees
Fractional positions:
Sb (0.000, 0.000, 0.500)
Sb (0.500, 0.000, 0.000)
Te (0.500, 0.500, 0.500)
Ni (0.000, 0.000, 0.000)
Cd (0.000, 0.500, 0.000)

Record 2
First-principles (PBE-GGA) data for a relaxed DyGaPbS4 crystal, as listed in Alexandria via LeMat-Bulk.

Summary:
M_tot: 0.00 Bohr magnetons per cell
DOS at the Fermi energy: 0.00 states/eV per cell
Formation energy (no corrections): -1.06 eV per atom

Cell lengths 6.546, 6.690, 7.990 Å; angles 90.00, 106.71, 90.00 degrees
Fractional positions:
Dy (0.777, 0.750, 0.443)
Dy (0.223, 0.250, 0.557)
Ga (0.238, 0.750, 0.317)
Ga (0.762, 0.250, 0.683)
Pb (0.748, 0.750, 0.932)
Pb (0.252, 0.250, 0.068)
S (0.000, 0.507, 0.727)
S (0.000, 0.007, 0.273)
S (0.000, 0.493, 0.273)
S (0.000, 0.993, 0.727)
S (0.445, 0.750, 0.136)
S (0.555, 0.250, 0.864)
S (0.453, 0.750, 0.597)
S (0.547, 0.250, 0.403)

Record 3
First-principles (PBE-GGA) data for a relaxed HfTcO2 crystal, as listed in Alexandria via LeMat-Bulk.

Summary:
M_tot: 2.60 Bohr magnetons per cell
DOS at the Fermi energy: 1.98 states/eV per cell
Formation energy (no corrections): -0.94 eV per atom

Cell lengths 4.004, 4.004, 4.004 Å; angles 60.00, 60.00, 60.00 degrees
Fractional positions:
Hf (0.500, 0.500, 0.500)
Tc (0.000, 0.000, 0.000)
O (0.250, 0.250, 0.250)
O (0.750, 0.750, 0.750)

Record 4
First-principles (PBE-GGA) data for a relaxed MnOsBr2 crystal, as listed in Alexandria via LeMat-Bulk.

Summary:
M_tot: 4.96 Bohr magnetons per cell
DOS at the Fermi energy: 3.34 states/eV per cell
Formation energy (no corrections): 0.94 eV per atom

Cell lengths 4.232, 3.507, 5.319 Å; angles 89.42, 90.00, 90.00 degrees
Fractional positions:
Br (0.000, 0.967, 0.987)
Br (0.000, 0.533, 0.513)
Mn (0.500, 0.250, 0.250)
Os (0.500, 0.750, 0.750)

Record 5
First-principles (PBE-GGA) data for a relaxed NdEr2Cd3 crystal, as listed in Alexandria via LeMat-Bulk.

Summary:
M_tot: 1.09 Bohr magnetons per cell
DOS at the Fermi energy: 13.50 states/eV per cell
Energy of formation: -0.310 eV/atom

Cell lengths 5.269, 8.353, 7.650 Å; angles 90.00, 90.00, 71.62 degrees
Fractional positions:
Nd (0.335, 0.330, 0.000)
Nd (0.665, 0.670, 0.000)
Er (0.000, 0.000, 0.000)
Er (0.000, 0.000, 0.500)
Er (0.331, 0.338, 0.500)
Er (0.669, 0.662, 0.500)
Cd (0.837, 0.327, 0.737)
Cd (0.500, 0.000, 0.263)
Cd (0.163, 0.673, 0.263)
Cd (0.837, 0.327, 0.263)
Cd (0.163, 0.673, 0.737)
Cd (0.500, 0.000, 0.737)

Record 6
First-principles (PBE-GGA) data for a relaxed Zr2AlSi crystal, as listed in Alexandria via LeMat-Bulk.

Summary:
M_tot: 0.00 Bohr magnetons per cell
DOS at the Fermi energy: 11.95 states/eV per cell
Formation energy (no corrections): -0.42 eV per atom

Cell lengths 5.477, 5.479, 10.608 Å; angles 90.00, 90.00, 90.00 degrees
Fractional positions:
Si (0.946, 0.401, 0.901)
Si (0.446, 0.599, 0.099)
Si (0.946, 0.901, 0.599)
Si (0.446, 0.099, 0.401)
Al (0.446, 0.881, 0.911)
Al (0.946, 0.119, 0.089)
Al (0.446, 0.381, 0.589)
Al (0.946, 0.619, 0.411)
Zr (0.946, 0.120, 0.360)
Zr (0.446, 0.880, 0.640)
Zr (0.946, 0.620, 0.140)
Zr (0.446, 0.380, 0.860)
Zr (0.946, 0.888, 0.847)
Zr (0.446, 0.112, 0.153)
Zr (0.946, 0.388, 0.653)
Zr (0.446, 0.612, 0.347)

Computed V (Å³ per cell) in order:
127; 335; 45; 79; 320; 318